[1]
A plane-wave DFT calculation with PBE was carried out for NaInBiSe3 after structural relaxation.

a b c (Å): 4.7335 8.0842 10.5424
angles (deg): 101.42 90.00 90.00
Element x y z (fractional)
1 Bi 0.7500 0.3375 0.8689
2 Bi 0.2500 0.6625 0.1311
3 Se 0.7500 0.9113 0.1474
4 In 0.2500 0.1090 0.6020
5 Na 0.2500 0.1705 0.1489
6 Se 0.7500 0.2257 0.5354
7 Se 0.7500 0.4214 0.1358
8 In 0.7500 0.8910 0.3980
9 Se 0.2500 0.5786 0.8642
10 Se 0.2500 0.0887 0.8526
11 Se 0.2500 0.7743 0.4646
12 Na 0.7500 0.8295 0.8511

Summary:
DOS at the Fermi energy in states/eV/f.u.: 1.64
Formation energy (no corrections) in meV/atom: -513
Calculated total energy in eV per atom: -3.58

[2]
A plane-wave DFT calculation with PBE was carried out for Ag3Te after structural relaxation.

a b c (Å): 5.5145 5.5145 5.5145
angles (deg): 90.00 90.00 90.00
Element x y z (fractional)
1 Ag 0.0000 0.5000 0.0000
2 Ag 0.0000 0.0000 0.5000
3 Ag 0.5000 0.0000 0.0000
4 Te 0.0000 0.0000 0.0000

Summary:
DOS at the Fermi energy in states/eV/f.u.: 1.02
Formation energy (no corrections) in meV/atom: 481
Relative energy among the computed polymorphs in meV/atom: 453.7
Calculated total energy in eV per atom: -2.44

[3]
A plane-wave DFT calculation with PBE was carried out for NaNi2Se after structural relaxation.

a b c (Å): 4.7173 4.7173 8.3227
angles (deg): 73.54 73.54 90.00
Element x y z (fractional)
1 Na 0.5000 0.5000 0.0000
2 Ni 0.9051 0.1250 0.2500
3 Na 0.2500 0.7500 0.5000
4 Ni 0.8449 0.6250 0.2500
5 Se 0.7500 0.2500 0.5000
6 Ni 0.8750 0.1551 0.7500
7 Se 0.0000 0.0000 0.0000
8 Ni 0.3750 0.0949 0.7500

Summary:
DOS at the Fermi energy in states/eV/f.u.: 1.53
Formation energy (no corrections) in meV/atom: -90
Calculated total energy in eV per atom: -4.18

[4]
A plane-wave DFT calculation with PBE was carried out for CaGa4Pd4 after structural relaxation.

a b c (Å): 4.8105 8.4795 8.4795
angles (deg): 90.00 90.00 90.00
Element x y z (fractional)
1 Ga 0.5383 0.8491 0.2909
2 Ga 0.0383 0.2091 0.3491
3 Ga 0.5383 0.1509 0.7091
4 Pd 0.9564 0.3691 0.1051
5 Pd 0.0436 0.1051 0.6309
6 Ca 0.5000 0.5000 0.5000
7 Pd 0.9564 0.6309 0.8949
8 Ga 0.4617 0.2909 0.1509
9 Ga 0.0383 0.7909 0.6509
10 Ca 0.0000 0.0000 0.0000
11 Pd 0.5436 0.8691 0.6051
12 Ga 0.4617 0.7091 0.8491
13 Pd 0.5436 0.1309 0.3949
14 Pd 0.4564 0.6051 0.1309
15 Pd 0.4564 0.3949 0.8691
16 Pd 0.0436 0.8949 0.3691
17 Ga 0.9617 0.6509 0.2091
18 Ga 0.9617 0.3491 0.7909

Summary:
DOS at the Fermi energy in states/eV/f.u.: 3.93
Calculated total energy in eV per atom: -4.44
ΔE_f in eV/atom: -0.567

[5]
A plane-wave DFT calculation with PBE was carried out for AcCeHoSc after structural relaxation.

a b c (Å): 5.6963 5.6963 5.6963
angles (deg): 60.00 60.00 60.00
Each line ends with the local moment (μB).
Element x y z (fractional)
1 Ce 0.2500 0.2500 0.2500  0.61
2 Sc 0.0000 0.0000 0.0000  -0.03
3 Ho 0.5000 0.5000 0.5000  -0.02
4 Ac 0.7500 0.7500 0.7500  -0.02

Summary:
DOS at the Fermi energy in states/eV/f.u.: 8.75
Calculated total energy in eV per atom: -5.06
ΔE_f in eV/atom: 0.175

[6]
A plane-wave DFT calculation with PBE was carried out for CeGe3Ir5 after structural relaxation.

a b c (Å): 4.0543 6.7074 12.3591
angles (deg): 90.00 90.00 107.59
Each line ends with the local moment (μB).
Element x y z (fractional)
1 Ge 0.1073 0.2147 0.7500  0.00
2 Ir 0.0000 0.0000 0.0000  -0.02
3 Ir 0.5618 0.1237 0.6412  0.00
4 Ir 0.4382 0.8763 0.3588  0.00
5 Ge 0.6136 0.2272 0.4450  0.00
6 Ge 0.6136 0.2272 0.0550  0.00
7 Ir 0.5618 0.1237 0.8588  0.00
8 Ir 0.4382 0.8763 0.1412  0.00
9 Ir 0.0000 0.0000 0.5000  -0.02
10 Ce 0.8125 0.6250 0.7500  0.67
11 Ir 0.2024 0.4047 0.9277  -0.03
12 Ge 0.3864 0.7728 0.5550  0.00
13 Ir 0.2024 0.4047 0.5723  -0.03
14 Ir 0.7976 0.5953 0.4277  -0.03
15 Ge 0.8927 0.7853 0.2500  0.00
16 Ir 0.7976 0.5953 0.0723  -0.03
17 Ge 0.3864 0.7728 0.9450  0.00
18 Ce 0.1875 0.3750 0.2500  0.67

Summary:
DOS at the Fermi energy in states/eV/f.u.: 10.44
Calculated total energy in eV per atom: -7.48
ΔE_f in eV/atom: -0.355

[7]
A plane-wave DFT calculation with PBE was carried out for RbBeNb2Cr after structural relaxation.

a b c (Å): 4.8544 4.1210 4.8544
angles (deg): 90.00 90.00 90.00
Element x y z (fractional)
1 Cr 0.5000 0.5000 0.5000
2 Be 0.0000 0.5000 0.0000
3 Rb 0.0000 0.0000 0.0000
4 Nb 0.0000 0.0000 0.5000
5 Nb 0.5000 0.0000 0.0000

Summary:
DOS at the Fermi energy in states/eV/f.u.: 8.56
Calculated total energy in eV per atom: -3.75
ΔE_f in eV/atom: 3.140

[8]
A plane-wave DFT calculation with PBE was carried out for TaCuBr2 after structural relaxation.

a b c (Å): 3.3672 3.3787 8.5817
angles (deg): 78.54 90.00 90.00
Element x y z (fractional)
1 Cu 0.0000 0.5475 0.5307
2 Br 0.0000 0.8518 0.9189
3 Br 0.5000 0.1307 0.3661
4 Ta 0.5000 0.9700 0.6843

Summary:
DOS at the Fermi energy in states/eV/f.u.: 1.85
Formation energy (no corrections) in meV/atom: -136
Relative energy among the computed polymorphs in meV/atom: 0.0
Calculated total energy in eV per atom: -4.96